# 1
Computed, not measured: a relaxed structure of ZnBi3I at the PBE level of DFT.

total energy	-1.83	eV/atom
Fermi-level density of states	6.380	states/eV/f.u.
formation energy from raw total energies	103	kJ per mole of atoms

abc: 5.9932 5.9932 5.9932
angles: 90.00 90.00 90.00
Space group Pm-3m (No. 221)
Inequivalent atoms, fractional coordinates:
Zn1 0.0000 0.0000 0.0000 (multiplicity 1)
Bi1 0.0000 0.5000 0.5000 (multiplicity 3)
I1 0.5000 0.5000 0.5000 (multiplicity 1)

# 2
Computed, not measured: a relaxed structure of NpScSb2 at the PBE level of DFT.

total energy	-7.28	eV/atom
Fermi-level density of states	10.648	states/eV/f.u.
formation energy from raw total energies	-38	kJ per mole of atoms

abc: 3.8500 3.8500 6.6769
angles: 90.00 90.00 90.00
Space group P4/mmm (No. 123)
Inequivalent atoms, fractional coordinates:
Np1 0.0000 0.0000 0.0000 (multiplicity 1)
Sc1 0.0000 0.0000 0.5000 (multiplicity 1)
Sb1 0.5000 0.5000 0.2623 (multiplicity 2)

# 3
Computed, not measured: a relaxed structure of Rb2ZnBi at the PBE level of DFT.

total energy	-1.76	eV/atom
Fermi-level density of states	3.241	states/eV/f.u.
formation energy from the elements	0.01	eV/atom

abc: 8.8377 8.8377 8.8377
angles: 90.00 90.00 90.00
Space group Fm-3m (No. 225)
Inequivalent atoms, fractional coordinates:
Rb1 0.2500 0.2500 0.2500 (multiplicity 8)
Zn1 0.0000 0.0000 0.0000 (multiplicity 4)
Bi1 0.0000 0.0000 0.5000 (multiplicity 4)

# 4
Computed, not measured: a relaxed structure of YTe2 at the PBE level of DFT.

total energy	-5.41	eV/atom
Fermi-level density of states	0.616	states/eV/f.u.
formation energy from raw total energies	-112	kJ per mole of atoms

abc: 4.4472 4.4472 8.9205
angles: 90.00 90.00 90.00
Space group P4/nmm (No. 129, origin choice 2)
Inequivalent atoms, fractional coordinates:
Y1 0.2500 0.2500 0.2290 (multiplicity 2)
Te1 0.2500 0.2500 0.8724 (multiplicity 2)
Te2 0.2500 0.7500 0.5000 (multiplicity 2)

total energy of number 2 (NpScSb2)?
-7.28 eV/atom

What is the Fermi-level density of states in the first record?
6.380 states/eV/f.u.

The highest total energy belongs to which entry?
Rb2ZnBi

What is the formula in the first record?
ZnBi3I